Here is crystalline Ho3ScPb2C2 at its relaxed geometry from OQMD via LeMat-Bulk. Energies are from PBE-GGA.

abc: 3.567 3.567 15.848
angles: 90.00 90.00 120.00
Fractional positions:
Ho1 0.000 0.000 0.000
Ho2 0.000 0.000 0.340
Ho3 0.333 0.667 0.508
Sc1 0.333 0.667 0.842
Pb1 0.000 0.000 0.681
Pb2 0.333 0.667 0.170
C1 0.667 0.333 0.424
C2 0.667 0.333 0.916

Summary:
Electronic total energy ... -6.260 eV per atom

---

Here is crystalline HgPbSO at its relaxed geometry from OQMD via LeMat-Bulk. Energies are from PBE-GGA.

abc: 7.294 7.690 6.676
angles: 90.00 90.00 90.00
Fractional positions:
Hg1 0.083 0.132 0.000
Hg2 0.417 0.132 0.500
Hg3 0.583 0.868 0.000
Hg4 0.917 0.868 0.500
Pb1 0.148 0.605 0.906
Pb2 0.352 0.605 0.406
Pb3 0.648 0.395 0.906
Pb4 0.852 0.395 0.406
S1 0.073 0.143 0.603
S2 0.427 0.143 0.103
S3 0.573 0.857 0.603
S4 0.927 0.857 0.103
O1 0.005 0.591 0.589
O2 0.495 0.591 0.089
O3 0.505 0.409 0.589
O4 0.995 0.409 0.089

Summary:
Energy above the most stable polymorph in this dataset ... 0.020 eV/atom
Electronic total energy ... -3.768 eV per atom

---

Here is crystalline Na2LiCuF6 at its relaxed geometry from OQMD via LeMat-Bulk. Energies are from PBE-GGA.

abc: 5.292 5.292 5.292
angles: 59.94 59.94 59.94
Fractional positions:
Na1 0.250 0.250 0.250
Na2 0.750 0.750 0.750
Li1 0.000 0.000 0.000
Cu1 0.500 0.500 0.500
F1 0.248 0.251 0.750
F2 0.250 0.752 0.749
F3 0.251 0.750 0.248
F4 0.749 0.250 0.752
F5 0.750 0.248 0.251
F6 0.752 0.749 0.250

Summary:
Energy above the most stable polymorph in this dataset ... 0.036 eV/atom
Electronic total energy ... -4.114 eV per atom

---

Here is crystalline Hf2CuGe2 at its relaxed geometry from OQMD via LeMat-Bulk. Energies are from PBE-GGA.

abc: 6.255 6.255 6.255
angles: 138.29 138.29 60.46
Fractional positions:
Hf1 0.250 0.750 0.500
Hf2 0.750 0.250 0.500
Cu1 0.000 0.000 0.000
Ge1 0.390 0.390 0.000
Ge2 0.610 0.610 0.000

Summary:
Electronic total energy ... -6.332 eV per atom

---

> What is the electronic total energy in the first record?

-6.260 eV per atom